Entry 1:
4
Lattice="3.2136 0.0000 0.0000 0.0000 4.1489 0.0000 -1.2095 0.0000 5.1164" Properties=species:S:1:pos:R:3 comment="ZrMn2As | Alexandria via LeMat-Bulk | PBE | optimized geometry" total_energy_ev_per_atom=-7.944 space_group=P2/m e_form_ev_per_fu=-0.24 pbc="T T T"
Zr 0.0000 0.0000 0.0000
Mn 0.3537 2.0745 3.8048
Mn 1.6505 2.0745 1.3115
As 1.0021 0.0000 2.5582

=====

Entry 2:
4
Lattice="-1.9431 1.9431 4.2572 1.9431 -1.9431 4.2572 1.9431 1.9431 -4.2572" Properties=species:S:1:pos:R:3 comment="ZrMn2As | Alexandria via LeMat-Bulk | PBE | optimized geometry" total_energy_ev_per_atom=-8.044 space_group=I4/mmm e_form_ev_per_fu=-0.64 pbc="T T T"
Zr 0.0000 0.0000 0.0000
Mn 1.9431 0.0000 2.1286
Mn 0.0000 1.9431 2.1286
As 0.0000 0.0000 4.2572

=====

Entry 3:
4
Lattice="3.2931 0.0000 0.0000 0.0000 4.0694 0.0000 -1.1967 0.0000 4.6709" Properties=species:S:1:pos:R:3 comment="ZrMn2As | Alexandria via LeMat-Bulk | PBE | optimized geometry" total_energy_ev_per_atom=-8.048 space_group=Pm e_form_ev_per_fu=-0.65 pbc="T T T"
Zr 0.0000 0.0000 0.0000
Mn 0.0964 2.0347 2.9182
Mn 1.4145 0.0000 2.3051
As 1.6664 2.0347 0.9659

=====

Entry 4:
10
Lattice="7.0368 0.0000 0.0000 0.0000 7.0368 0.0000 0.0000 0.0000 3.7082" Properties=species:S:1:pos:R:3 comment="Zr2MnAs2 | Alexandria via LeMat-Bulk | PBE | optimized geometry" total_energy_ev_per_atom=-7.842 space_group=P4/mbm e_form_ev_per_fu=-3.64 pbc="T T T"
Zr 1.1195 2.3989 0.0000
Zr 2.3989 5.9173 0.0000
Zr 4.6379 1.1195 0.0000
Zr 5.9173 4.6379 0.0000
Mn 0.0000 0.0000 1.8541
Mn 3.5184 3.5184 1.8541
As 1.0378 4.5562 1.8541
As 2.4806 1.0378 1.8541
As 4.5562 5.9990 1.8541
As 5.9990 2.4806 1.8541